Compound: HfOs2RhSe
Source: the Alexandria database
Functional: meta-GGA SCAN
Structure: single point on PBEsol structure

The density of states at the Fermi level comes out at 4.778 states/eV/cell. As for the volume: 20.64 Å³/atom. As for the uncorrected formation energy: 1.5786 eV/atom.

The structure belongs to space group P4/mmm (No. 123); the cell edges are 4.6326, 4.6326 and 4.8094 Å and the angles 90.00°, 90.00° and 90.00°. Symmetry generates all atoms from Hf at (0.0000, 0.0000, 0.0000), Os at (0.0000, 0.5000, 0.5000), Rh at (0.0000, 0.0000, 0.5000) and Se at (0.5000, 0.5000, 0.0000).